First-principles (PBE) data for an optimized crystal structure of Li2CaMg6, as listed in the Alexandria database.

```
Li2CaMg6
1.0
5.351 0.063 0.498
0.671 8.557 3.611
0.248 -0.462 9.297
Li Ca Mg
4 2 12
Cartesian
2.644 4.183 9.427
5.429 6.553 8.202
0.842 1.605 5.205
3.627 3.975 3.979
4.633 7.507 4.677
1.638 0.652 8.730
2.093 6.231 2.817
4.178 1.928 10.590
0.680 4.570 5.081
3.708 0.871 4.063
5.136 5.152 10.959
2.563 7.288 9.343
3.009 5.555 6.817
1.134 3.007 2.447
3.262 2.604 6.590
4.464 -0.243 7.168
5.591 3.589 8.326
1.807 8.402 6.239
```

Calculated values
- Polymorph energy (0 for the lowest one): 0 meV per atom
- Density of states at the Fermi level: 8.1 states/eV/cell
- ΔH_f (0 K): -0.6 meV per atom
- Space group: C2/c, No. 15